DFT (GGA-PBE) results for an optimized crystal structure of Tb6PmY.

As for the crystal system: tetragonal. As for the formation energy: 0.0204 eV per atom. The calculation puts the size of the total moment at 0.000 μB/atom. The value obtained for the calculated total energy is -38.833 eV for the cell shown. The energy above the lowest structure with this stoichiometry comes out at 0.00 eV/f.u.

Cell and atoms, written as extended XYZ:
```
8
Lattice="5.058 0.000 0.000 0.000 5.058 0.000 0.000 0.000 10.106" Properties=species:S:1:pos:R:3 pbc="T T T"
Tb 0.000 0.000 0.000
Tb 0.000 0.000 5.053
Tb 0.000 2.529 2.519
Tb 0.000 2.529 7.587
Tb 2.529 0.000 2.519
Tb 2.529 0.000 7.587
Pm 2.529 2.529 5.053
Y 2.529 2.529 0.000
```